The following is a DFT calculation (GGA+U) of a relaxed CrSiIrO2 crystal.

symmetry = P4/mmm, No. 123
electronic total energy = -6.685 eV per atom

Unit cell a=3.546 b=5.670 c=3.546 alpha=90.00 beta=90.00 gamma=90.00
Each line ends with the local moment (μB).
Positions (direct):
Cr1 0.000 0.000 0.000  2.21
Si1 0.500 0.500 0.500  0.00
Ir1 0.000 0.500 0.000  -0.11
O1 0.000 0.000 0.500  -0.16
O2 0.500 0.000 0.000  -0.37